Record 1
Here is Rb3Cd2Sn3 after structural relaxation from Alexandria via LeMat-Bulk. Energies are from PBE-GGA.

abc: 5.2339 15.1508 8.0277
angles: 90.00 90.06 90.00
Last column: nearest neighbours and their distance in Å.
Space group P2_1/m (No. 11)
Asymmetric unit:
Rb 0.0009 0.0881 0.2646 x4  6 Sn 3.77-4.08, 2 Cd 3.77-3.82
Rb 0.4995 0.7500 0.4534 x2  4 Cd 3.63, 3 Sn 3.74-3.84
Cd 0.0004 0.1576 0.8075 x4  1 Cd 2.80, 2 Sn 2.95
Sn 0.4979 0.7500 0.9318 x2  2 Sn 3.07
Sn 0.4994 0.5750 0.1249 x4  2 Cd 2.95, 2 Sn 3.03-3.07

Properties
Total magnetization ... 0.0 μB/f.u.
Energy of formation from the pure elements ... -0.136 eV/atom
Calculated density ... 4369 kg/m3



Record 2
Here is RbCd3Sn3 after structural relaxation from Alexandria via LeMat-Bulk. Energies are from PBE-GGA.

abc: 8.0789 8.0789 8.0789
angles: 90.00 90.00 90.00
Last column: nearest neighbours and their distance in Å.
Space group Pm-3n (No. 223)
Asymmetric unit:
Rb 0.0000 0.0000 0.0000 x2  12 Cd 4.52, 12 Sn 4.52
Cd 0.0000 0.2500 0.5000 x6  4 Sn 2.86
Sn 0.0000 0.5000 0.2500 x6  4 Cd 2.86

Properties
Total magnetization ... 0.0 μB/f.u.
Energy of formation from the pure elements ... 0.089 eV/atom
Calculated density ... 4905 kg/m3



Record 3
Here is RbCdSn3 after structural relaxation from Alexandria via LeMat-Bulk. Energies are from PBE-GGA.

abc: 6.1929 6.1929 6.1929
angles: 90.00 90.00 90.00
Last column: nearest neighbours and their distance in Å.
Space group Pm-3m (No. 221)
Asymmetric unit:
Rb 0.0000 0.0000 0.0000 x1  6 Sn 3.10
Cd 0.5000 0.5000 0.5000 x1  12 Sn 4.38
Sn 0.0000 0.0000 0.5000 x3  2 Rb 3.10

Properties
Total magnetization ... 0.0 μB/f.u.
Energy of formation from the pure elements ... 1.255 eV/atom
Calculated density ... 3873 kg/m3



Record 4
Here is RbCd3Sn3 after structural relaxation from Alexandria via LeMat-Bulk. Energies are from PBE-GGA.

abc: 11.7223 11.7223 4.4966
angles: 90.00 90.00 120.00
Last column: nearest neighbours and their distance in Å.
Space group P6_3/m (No. 176)
Asymmetric unit:
Rb 0.3333 0.6667 0.2500 x2  6 Cd 3.72, 9 Sn 3.79-4.00
Cd 0.1328 0.3831 0.7500 x6  3 Sn 2.90-2.97
Sn 0.0251 0.6027 0.7500 x6  3 Cd 2.90-2.97, 2 Sn 3.13

Properties
Total magnetization ... 0.0 μB/f.u.
Energy of formation from the pure elements ... 0.046 eV/atom
Calculated density ... 4833 kg/m3



Record 5
Here is RbCdSn2 after structural relaxation from Alexandria via LeMat-Bulk. Energies are from PBE-GGA.

abc: 5.4041 12.3311 7.6865
angles: 90.00 90.00 90.00
Last column: nearest neighbours and their distance in Å.
Space group Cmcm (No. 63)
Asymmetric unit:
Rb 0.0000 0.0850 0.2500 x4  10 Sn 3.60-4.02, 3 Cd 3.61-3.72
Cd 0.0000 0.2074 0.7500 x4  6 Sn 3.13-3.26
Sn 0.0000 0.3767 0.0542 x8  2 Sn 3.01-3.15, 3 Cd 3.13-3.26

Properties
Total magnetization ... 0.0 μB/f.u.
Energy of formation from the pure elements ... -0.081 eV/atom
Calculated density ... 5645 kg/m3



Record 6
Here is RbCd4Sn6 after structural relaxation from Alexandria via LeMat-Bulk. Energies are from PBE-GGA.

abc: 8.5287 8.5287 5.1402
angles: 90.00 90.00 120.00
Last column: nearest neighbours and their distance in Å.
Space group P-6m2 (No. 187)
Asymmetric unit:
Rb 0.0000 0.0000 0.0000 x1  12 Sn 3.98-4.29, 6 Cd 4.01
Cd 0.3333 0.6667 0.0000 x1  9 Sn 2.96-3.19
Cd 0.4172 0.2086 0.5000 x3  6 Sn 3.06-3.20, 2 Cd 3.19
Sn 0.2056 0.4112 0.5000 x3  4 Cd 3.06-3.19, 2 Sn 3.27
Sn 0.5336 0.0672 0.0000 x3  5 Cd 2.96-3.20

Properties
Total magnetization ... 0.0 μB/f.u.
Energy of formation from the pure elements ... 0.002 eV/atom
Calculated density ... 6397 kg/m3



Record 7
Here is Rb3Cd4Sn4 after structural relaxation from Alexandria via LeMat-Bulk. Energies are from PBE-GGA.

abc: 9.2429 9.2429 9.2429
angles: 90.00 90.00 90.00
Last column: nearest neighbours and their distance in Å.
Space group I-43m (No. 217)
Asymmetric unit:
Rb 0.0000 0.0000 0.5000 x6  4 Cd 3.77, 4 Sn 3.77
Cd 0.1611 0.1611 0.1611 x8  4 Sn 2.86-2.97
Sn 0.1600 0.1600 0.8400 x8  4 Cd 2.86-2.97

Properties
Total magnetization ... 0.0 μB/f.u.
Energy of formation from the pure elements ... -0.094 eV/atom
Calculated density ... 4967 kg/m3



Record 8
Here is Rb3Cd3Sn2 after structural relaxation from Alexandria via LeMat-Bulk. Energies are from PBE-GGA.

abc: 4.9796 13.9199 18.5573
angles: 90.00 90.00 90.00
Last column: nearest neighbours and their distance in Å.
Space group Cmcm (No. 63)
Asymmetric unit:
Rb 0.0000 0.0614 0.1054 x8  5 Cd 3.75-3.98, 3 Sn 3.84-3.99
Rb 0.0000 0.3769 0.2500 x4  4 Sn 3.78, 5 Cd 3.82-4.14
Cd 0.0000 0.3122 0.0322 x8  3 Sn 2.93-3.01, 2 Cd 3.26
Cd 0.0000 0.3312 0.7500 x4  2 Sn 3.02
Sn 0.0000 0.2147 0.6126 x8  4 Cd 2.93-3.02

Properties
Total magnetization ... 0.0 μB/f.u.
Energy of formation from the pure elements ... -0.115 eV/atom
Calculated density ... 4291 kg/m3



Record 9
Here is RbCd3Sn4 after structural relaxation from Alexandria via LeMat-Bulk. Energies are from PBE-GGA.

abc: 4.8002 4.8002 10.5645
angles: 90.00 90.00 90.00
Last column: nearest neighbours and their distance in Å.
Space group P4/mmm (No. 123)
Asymmetric unit:
Rb 0.0000 0.0000 0.0000 x1  8 Cd 3.68
Cd 0.0000 0.0000 0.5000 x1  8 Sn 3.08
Cd 0.5000 0.5000 0.1355 x2  1 Cd 2.86, 4 Sn 3.08
Sn 0.0000 0.5000 0.3178 x4  4 Cd 3.08, 4 Sn 3.39

Properties
Total magnetization ... 0.0 μB/f.u.
Energy of formation from the pure elements ... -0.008 eV/atom
Calculated density ... 6123 kg/m3



Record 10
Here is Rb2Cd3Sn after structural relaxation from Alexandria via LeMat-Bulk. Energies are from PBE-GGA.

abc: 12.7317 5.1619 9.0269
angles: 90.00 131.30 90.00
Last column: nearest neighbours and their distance in Å.
Space group Cm (No. 8)
Asymmetric unit:
Rb 0.0000 0.0000 0.0000 x2  6 Cd 3.78-3.96, 3 Sn 3.83-3.93, 1 Rb 4.23
Rb 0.1357 0.0000 0.6808 x2  9 Cd 3.86-4.22, 3 Sn 3.98-4.17, 1 Rb 4.23
Cd 0.2707 0.5000 0.1472 x2  2 Cd 2.99, 1 Sn 3.07
Cd 0.3517 0.0000 0.5174 x2  2 Sn 2.89, 1 Cd 3.08
Cd 0.4236 0.0000 0.2521 x2  1 Sn 2.96, 3 Cd 2.99-3.08
Sn 0.2206 0.5000 0.4362 x2  4 Cd 2.89-3.07

Properties
Total magnetization ... 0.0 μB/f.u.
Energy of formation from the pure elements ... -0.119 eV/atom
Calculated density ... 4671 kg/m3



Record 11
Here is Rb3CdSn after structural relaxation from Alexandria via LeMat-Bulk. Energies are from PBE-GGA.

abc: 12.5488 11.0478 9.2570
angles: 90.00 125.27 90.00
Last column: nearest neighbours and their distance in Å.
Space group C2/m (No. 12)
Asymmetric unit:
Rb 0.0320 0.0000 0.2595 x4  1 Sn 3.76, 1 Cd 3.88, 2 Rb 4.14
Rb 0.2174 0.2990 0.2290 x8  2 Cd 3.80-3.93, 2 Sn 3.91-4.09, 1 Rb 4.14
Cd 0.1722 0.5000 0.8475 x4  2 Sn 2.94-3.14
Sn 0.1012 0.5000 0.4615 x4  2 Cd 2.94-3.14, 1 Sn 3.01

Properties
Total magnetization ... 0.0 μB/f.u.
Energy of formation from the pure elements ... -0.022 eV/atom
Calculated density ... 3091 kg/m3



Record 12
Here is RbCdSn4 after structural relaxation from Alexandria via LeMat-Bulk. Energies are from PBE-GGA.

abc: 4.5900 8.0384 10.3148
angles: 90.00 90.00 90.00
Last column: nearest neighbours and their distance in Å.
Space group Immm (No. 71)
Asymmetric unit:
Rb 0.0000 0.0000 0.0000 x2  12 Sn 3.78-3.80, 2 Cd 4.02
Cd 0.0000 0.5000 0.0000 x2  8 Sn 3.22
Sn 0.0000 0.1870 0.3365 x8  3 Sn 3.01-3.08, 2 Cd 3.22

Properties
Total magnetization ... 0.0 μB/f.u.
Energy of formation from the pure elements ... -0.066 eV/atom
Calculated density ... 5870 kg/m3



Record 13
Here is RbCd12Sn4 after structural relaxation from Alexandria via LeMat-Bulk. Energies are from PBE-GGA.

abc: 10.1271 10.1271 10.1271
angles: 90.00 90.00 90.00
Last column: nearest neighbours and their distance in Å.
Space group Im-3 (No. 204)
Asymmetric unit:
Rb 0.0000 0.0000 0.0000 x2  12 Cd 3.90
Cd 0.0000 0.3552 0.1491 x24  2 Sn 2.93, 2 Cd 2.93-3.02
Sn 0.2500 0.2500 0.2500 x8  6 Cd 2.93

Properties
Total magnetization ... 0.0 μB/f.u.
Energy of formation from the pure elements ... 0.104 eV/atom
Calculated density ... 6105 kg/m3



Record 14
Here is RbCd6Sn2 after structural relaxation from Alexandria via LeMat-Bulk. Energies are from PBE-GGA.

abc: 4.8140 4.8140 10.4934
angles: 90.00 90.00 90.00
Last column: nearest neighbours and their distance in Å.
Space group P4/mmm (No. 123)
Asymmetric unit:
Rb 0.0000 0.0000 0.0000 x1  8 Sn 3.73, 8 Cd 4.04
Cd 0.0000 0.0000 0.5000 x1  12 Cd 3.13-3.40
Cd 0.0000 0.5000 0.3094 x4  2 Sn 2.96, 4 Cd 3.13
Cd 0.5000 0.5000 0.5000 x1  12 Cd 3.13-3.40
Sn 0.5000 0.5000 0.1450 x2  4 Cd 2.96, 1 Sn 3.04

Properties
Total magnetization ... 0.0 μB/f.u.
Energy of formation from the pure elements ... -0.043 eV/atom
Calculated density ... 6810 kg/m3



Record 15
Here is RbCd2Sn6 after structural relaxation from Alexandria via LeMat-Bulk. Energies are from PBE-GGA.

abc: 4.8643 4.8643 11.3499
angles: 90.00 90.00 90.00
Last column: nearest neighbours and their distance in Å.
Space group P4/mmm (No. 123)
Asymmetric unit:
Rb 0.0000 0.0000 0.0000 x1  8 Cd 3.73, 8 Sn 4.15
Cd 0.5000 0.5000 0.1262 x2  1 Cd 2.87, 4 Sn 3.11
Sn 0.0000 0.0000 0.5000 x1  12 Sn 3.35-3.44
Sn 0.0000 0.5000 0.2965 x4  2 Cd 3.11, 8 Sn 3.35-3.44
Sn 0.5000 0.5000 0.5000 x1  12 Sn 3.35-3.44

Properties
Total magnetization ... 0.0 μB/f.u.
Energy of formation from the pure elements ... -0.015 eV/atom
Calculated density ... 6323 kg/m3



Record 16
Here is Rb2Cd2Sn after structural relaxation from Alexandria via LeMat-Bulk. Energies are from PBE-GGA.

abc: 5.2567 5.2567 14.8916
angles: 90.00 90.00 90.00
Last column: nearest neighbours and their distance in Å.
Space group I4/mmm (No. 139)
Asymmetric unit:
Rb 0.0000 0.5000 0.2500 x4  4 Cd 3.53, 4 Rb 3.72
Cd 0.0000 0.0000 0.0916 x4  1 Cd 2.73
Sn 0.0000 0.0000 0.5000 x2  8 Cd 3.96

Properties
Total magnetization ... 0.0 μB/f.u.
Energy of formation from the pure elements ... 0.305 eV/atom
Calculated density ... 4152 kg/m3



Record 17
Here is RbCd7Sn12 after structural relaxation from Alexandria via LeMat-Bulk. Energies are from PBE-GGA.

abc: 11.0964 11.0964 11.0964
angles: 90.00 90.00 90.00
Last column: nearest neighbours and their distance in Å.
Space group Im-3 (No. 204)
Asymmetric unit:
Rb 0.0000 0.0000 0.0000 x2  8 Cd 4.80, 12 Sn 4.86
Cd 0.0000 0.0000 0.5000 x6  8 Sn 3.15-3.19
Cd 0.2500 0.2500 0.2500 x8  6 Sn 3.04
Sn 0.0000 0.2478 0.3614 x24  4 Cd 3.04-3.19, 1 Sn 3.08

Properties
Total magnetization ... 0.0 μB/f.u.
Energy of formation from the pure elements ... 0.098 eV/atom
Calculated density ... 5583 kg/m3



Record 18
Here is Rb2Cd2Sn after structural relaxation from Alexandria via LeMat-Bulk. Energies are from PBE-GGA.

abc: 4.1211 4.1211 24.0359
angles: 90.00 90.00 90.00
Last column: nearest neighbours and their distance in Å.
Space group I4/mmm (No. 139)
Asymmetric unit:
Rb 0.0000 0.0000 0.1043 x4  4 Sn 3.84, 4 Cd 4.06, 4 Rb 4.12
Cd 0.0000 0.5000 0.2500 x4  4 Cd 2.91
Sn 0.0000 0.0000 0.5000 x2  8 Rb 3.84, 4 Sn 4.12

Properties
Total magnetization ... 0.0 μB/f.u.
Energy of formation from the pure elements ... 0.061 eV/atom
Calculated density ... 4185 kg/m3



Record 19
Here is RbCdSn4 after structural relaxation from Alexandria via LeMat-Bulk. Energies are from PBE-GGA.

abc: 12.1186 7.3062 8.8770
angles: 90.00 103.60 90.00
Last column: nearest neighbours and their distance in Å.
Space group C2/m (No. 12)
Asymmetric unit:
Rb 0.2031 0.0000 0.3057 x4  11 Sn 3.78-4.02, 3 Cd 3.86
Cd 0.0967 0.5000 0.2856 x4  5 Sn 2.93-3.17
Sn 0.0000 0.2599 0.5000 x4  2 Cd 3.02, 2 Sn 3.06
Sn 0.1054 0.2887 0.9375 x8  3 Sn 3.01-3.09, 1 Cd 3.17
Sn 0.1619 0.0000 0.7149 x4  1 Cd 2.93, 4 Sn 3.06-3.08

Properties
Total magnetization ... 0.0 μB/f.u.
Energy of formation from the pure elements ... -0.072 eV/atom
Calculated density ... 5849 kg/m3



Record 20
Here is Rb2Cd7Sn after structural relaxation from Alexandria via LeMat-Bulk. Energies are from PBE-GGA.

abc: 5.0999 5.0999 12.0724
angles: 90.00 90.00 90.00
Last column: nearest neighbours and their distance in Å.
Space group P-4m2 (No. 115)
Asymmetric unit:
Rb 0.0000 0.5000 0.2483 x2  14 Cd 3.88-3.97, 2 Sn 3.94
Cd 0.0000 0.0000 0.0000 x1  4 Cd 3.00
Cd 0.0000 0.0000 0.5000 x1  4 Cd 2.99
Cd 0.0000 0.5000 0.6287 x2  5 Cd 2.91-2.99
Cd 0.0000 0.5000 0.8698 x2  3 Cd 2.91-3.00, 2 Sn 3.00
Cd 0.5000 0.5000 0.5000 x1  4 Cd 2.99
Sn 0.5000 0.5000 0.0000 x1  4 Cd 3.00

Properties
Total magnetization ... 0.0 μB/f.u.
Energy of formation from the pure elements ... -0.069 eV/atom
Calculated density ... 5693 kg/m3